<1>
The following is a DFT calculation (PBE) of crystalline Ca2HfTe2 at its relaxed geometry.

Summary:
The calculation puts the total magnetization at 3.9 μB per cell. The density comes out at 5.84 g cm⁻³.

Unit cell a=8.673 b=8.673 c=3.887 alpha=90.00 beta=90.00 gamma=90.00
Element x y z (fractional)
Ca  0.139  0.361  0.000
Ca  0.361  0.861  0.000
Ca  0.639  0.139  0.000
Ca  0.861  0.639  0.000
Hf  0.000  0.000  0.000
Hf  0.500  0.500  0.000
Te  0.165  0.665  0.500
Te  0.335  0.165  0.500
Te  0.665  0.835  0.500
Te  0.835  0.335  0.500

***

<2>
The following is a DFT calculation (PBE) of crystalline Ca2HfTe2 at its relaxed geometry.

Summary:
The calculation puts the total magnetization at 2.0 μB per cell. The density comes out at 4.98 g cm⁻³.

Unit cell a=6.477 b=6.477 c=6.477 alpha=126.06 beta=126.06 gamma=79.79
Element x y z (fractional)
Ca  0.175  0.175  0.000
Ca  0.825  0.825  0.000
Hf  0.500  0.500  0.000
Te  0.250  0.750  0.500
Te  0.750  0.250  0.500

***

Short version: <1>, <2>, most stable first.

***

<1>
The following is a DFT calculation (PBE) of crystalline CaHf2Ti at its relaxed geometry.

Summary:
The calculation puts the total magnetization at 3.0 μB per cell. The density comes out at 7.93 g cm⁻³.

Unit cell a=5.089 b=5.089 c=5.089 alpha=60.00 beta=60.00 gamma=60.00
Element x y z (fractional)
Ca  0.000  0.000  0.000
Hf  0.250  0.250  0.250
Hf  0.750  0.750  0.750
Ti  0.500  0.500  0.500

***

<2>
The following is a DFT calculation (PBE) of crystalline CaHf2Ti at its relaxed geometry.

Summary:
The calculation puts the total magnetization at 0.0 μB per cell. The density comes out at 7.59 g cm⁻³.

Unit cell a=10.889 b=10.889 c=10.889 alpha=157.15 beta=157.15 gamma=32.54
Element x y z (fractional)
Ca  0.000  0.000  0.000
Ca  0.750  0.250  0.500
Hf  0.144  0.125  0.519
Hf  0.375  0.856  0.981
Hf  0.606  0.625  0.481
Hf  0.875  0.394  0.019
Ti  0.250  0.750  0.500
Ti  0.500  0.500  0.000

***

Short version: <1>, <2>, most stable first.

***

<1>
The following is a DFT calculation (PBE) of crystalline CaHfTl2 at its relaxed geometry.

Summary:
The calculation puts the total magnetization at 0.0 μB per cell. The density comes out at 10.43 g cm⁻³.

Unit cell a=3.299 b=3.299 c=9.179 alpha=90.00 beta=90.00 gamma=90.00
Element x y z (fractional)
Ca  0.000  0.000  0.000
Hf  0.000  0.000  0.500
Tl  0.500  0.500  0.262
Tl  0.500  0.500  0.738

***

<2>
The following is a DFT calculation (PBE) of crystalline CaHfTl2 at its relaxed geometry.

Summary:
The calculation puts the total magnetization at 0.0 μB per cell. The density comes out at 9.11 g cm⁻³.

Unit cell a=6.719 b=6.719 c=6.719 alpha=105.01 beta=105.01 gamma=118.81
Element x y z (fractional)
Ca  0.000  0.000  0.000
Ca  0.750  0.250  0.500
Hf  0.250  0.750  0.500
Hf  0.500  0.500  0.000
Tl  0.145  0.125  0.520
Tl  0.375  0.855  0.980
Tl  0.605  0.625  0.480
Tl  0.875  0.395  0.020

***

Short version: <1>, <2>, most stable first.

***

<1>
The following is a DFT calculation (PBE) of crystalline Ca2HfTl at its relaxed geometry.

Summary:
The calculation puts the total magnetization at 0.0 μB per cell. The density comes out at 6.39 g cm⁻³.

Unit cell a=6.926 b=6.926 c=6.926 alpha=102.18 beta=102.18 gamma=125.30
Element x y z (fractional)
Ca  0.101  0.625  0.976
Ca  0.375  0.351  0.476
Ca  0.649  0.125  0.024
Ca  0.875  0.899  0.524
Hf  0.250  0.750  0.500
Hf  0.500  0.500  0.000
Tl  0.000  0.000  0.000
Tl  0.750  0.250  0.500

***

<2>
The following is a DFT calculation (PBE) of crystalline Ca2HfTl at its relaxed geometry.

Summary:
The calculation puts the total magnetization at 0.9 μB per cell. The density comes out at 6.62 g cm⁻³.

Unit cell a=5.478 b=5.478 c=5.478 alpha=60.00 beta=60.00 gamma=60.00
Element x y z (fractional)
Ca  0.250  0.250  0.250
Ca  0.750  0.750  0.750
Hf  0.000  0.000  0.000
Tl  0.500  0.500  0.500

***

Short version: <2>, <1>, most stable first.

***

<1>
The following is a DFT calculation (PBE) of crystalline CaHf3V at its relaxed geometry.

Summary:
The calculation puts the total magnetization at 0.0 μB per cell. The density comes out at 8.25 g cm⁻³.

Unit cell a=5.014 b=5.014 c=5.014 alpha=90.00 beta=90.00 gamma=90.00
Element x y z (fractional)
Ca  0.000  0.000  0.000
Hf  0.000  0.500  0.500
Hf  0.500  0.000  0.500
Hf  0.500  0.500  0.000
V  0.500  0.500  0.500

***

<2>
The following is a DFT calculation (PBE) of crystalline CaHf3V at its relaxed geometry.

Summary:
The calculation puts the total magnetization at 3.8 μB per cell. The density comes out at 8.39 g cm⁻³.

Unit cell a=4.987 b=4.987 c=4.987 alpha=90.00 beta=90.00 gamma=90.00
Element x y z (fractional)
Ca  0.000  0.000  0.000
Hf  0.000  0.000  0.500
Hf  0.000  0.500  0.000
Hf  0.500  0.000  0.000
V  0.500  0.500  0.500

***

Short version: <1>, <2>, most stable first.

***

<1>
The following is a DFT calculation (PBE) of crystalline CaYHf2 at its relaxed geometry.

Summary:
The calculation puts the total magnetization at 1.7 μB per cell. The density comes out at 7.39 g cm⁻³.

Unit cell a=5.365 b=5.365 c=5.365 alpha=60.00 beta=60.00 gamma=60.00
Element x y z (fractional)
Ca  0.000  0.000  0.000
Y  0.500  0.500  0.500
Hf  0.250  0.250  0.250
Hf  0.750  0.750  0.750

***

<2>
The following is a DFT calculation (PBE) of crystalline CaYHf2 at its relaxed geometry.

Summary:
The calculation puts the total magnetization at 1.9 μB per cell. The density comes out at 7.21 g cm⁻³.

Unit cell a=6.764 b=6.764 c=6.764 alpha=102.11 beta=102.11 gamma=125.49
Element x y z (fractional)
Ca  0.000  0.000  0.000
Ca  0.750  0.250  0.500
Y  0.250  0.750  0.500
Y  0.500  0.500  0.000
Hf  0.124  0.625  0.999
Hf  0.375  0.374  0.499
Hf  0.626  0.125  0.001
Hf  0.875  0.876  0.501

***

Short version: <1>, <2>, most stable first.

***

<1>
The following is a DFT calculation (PBE) of crystalline CaYHf3 at its relaxed geometry.

Summary:
The calculation puts the total magnetization at 1.3 μB per cell. The density comes out at 8.06 g cm⁻³.

Unit cell a=5.155 b=5.155 c=5.155 alpha=90.00 beta=90.00 gamma=90.00
Element x y z (fractional)
Ca  0.000  0.000  0.000
Y  0.500  0.500  0.500
Hf  0.000  0.000  0.500
Hf  0.000  0.500  0.000
Hf  0.500  0.000  0.000

***

<2>
The following is a DFT calculation (PBE) of crystalline CaYHf3 at its relaxed geometry.

Summary:
The calculation puts the total magnetization at 0.0 μB per cell. The density comes out at 7.33 g cm⁻³.

Unit cell a=5.319 b=5.319 c=5.319 alpha=90.00 beta=90.00 gamma=90.00
Element x y z (fractional)
Ca  0.000  0.000  0.000
Y  0.500  0.500  0.500
Hf  0.000  0.500  0.500
Hf  0.500  0.000  0.500
Hf  0.500  0.500  0.000

***

Short version: <2>, <1>, most stable first.

***

<1>
The following is a DFT calculation (PBE) of crystalline CaY2Hf2 at its relaxed geometry.

Summary:
The calculation puts the total magnetization at 0.0 μB per cell. The density comes out at 6.47 g cm⁻³.

Unit cell a=9.206 b=9.206 c=3.480 alpha=90.00 beta=90.00 gamma=90.00
Element x y z (fractional)
Ca  0.000  0.000  0.000
Ca  0.500  0.500  0.000
Y  0.177  0.323  0.500
Y  0.323  0.823  0.500
Y  0.677  0.177  0.500
Y  0.823  0.677  0.500
Hf  0.113  0.613  0.000
Hf  0.387  0.113  0.000
Hf  0.613  0.887  0.000
Hf  0.887  0.387  0.000

***

<2>
The following is a DFT calculation (PBE) of crystalline CaY2Hf2 at its relaxed geometry.

Summary:
The calculation puts the total magnetization at 0.0 μB per cell. The density comes out at 6.58 g cm⁻³.

Unit cell a=9.228 b=9.228 c=3.409 alpha=90.00 beta=90.00 gamma=90.00
Element x y z (fractional)
Ca  0.000  0.000  0.000
Ca  0.500  0.500  0.000
Y  0.127  0.373  0.000
Y  0.373  0.873  0.000
Y  0.627  0.127  0.000
Y  0.873  0.627  0.000
Hf  0.168  0.668  0.500
Hf  0.332  0.168  0.500
Hf  0.668  0.832  0.500
Hf  0.832  0.332  0.500

***

Short version: <1>, <2>, most stable first.